Entry 1:
# ScTa2Re

Crystalline ScTa2Re at its relaxed geometry (PBE-GGA, Alexandria).

Calculated values
* energy of formation: 48.78 kJ per mole of atoms
* space group: No. 122
* E_tot: -10.116 eV per atom
* spin magnetization: 0.000 μB per cell

Cell: 7.5565 7.5565 6.0390 Å, 51.27 51.27 90.00°
Closest atoms and distances in Å follow each position.
Fractional positions:
Sc: 0.2500 0.7500 0.5000  2 Re 2.81, 4 Ta 3.00
Sc: 0.5000 0.5000 0.0000  2 Re 2.81, 4 Ta 3.00
Re: 0.0000 0.0000 0.0000  4 Ta 2.55, 2 Sc 2.81
Re: 0.7500 0.2500 0.5000  4 Ta 2.55, 2 Sc 2.81
Ta: 0.3750 0.3310 0.7500  2 Re 2.55
Ta: 0.0810 0.6250 0.2500  2 Re 2.55
Ta: 0.6690 0.1250 0.2500  2 Re 2.55
Ta: 0.8750 0.9190 0.7500  2 Re 2.55

Entry 2:
# Ac5PrPb4

Crystalline Ac5PrPb4 at its relaxed geometry (PBE-GGA, Alexandria).

Calculated values
* energy of formation: -35.59 kJ per mole of atoms
* space group: No. 12
* E_tot: -4.384 eV per atom
* spin magnetization: 0.000 μB per cell

Cell: 5.7686 7.8005 12.1176 Å, 129.45 103.77 90.00°
Closest atoms and distances in Å follow each position.
Fractional positions:
Pb: 0.0078 0.2566 0.0155  6 Ac 3.40-3.65, 2 Pr 3.45, 1 Pb 3.77
Pb: 0.3266 0.9019 0.6533  7 Ac 3.45-3.68, 1 Pr 3.63
Pb: 0.6734 0.0981 0.3467  7 Ac 3.45-3.68, 1 Pr 3.63
Pb: 0.9922 0.7434 0.9845  6 Ac 3.40-3.65, 2 Pr 3.45, 1 Pb 3.77
Pr: 0.5000 0.0000 0.0000  6 Pb 3.45-3.63
Ac: 0.8350 0.1677 0.6700  5 Pb 3.47-3.65, 1 Ac 3.83
Ac: 0.5000 0.5000 0.0000  6 Pb 3.52-3.68, 2 Pr 3.90
Ac: 0.1661 0.3258 0.3322  5 Pb 3.40-3.61
Ac: 0.8339 0.6742 0.6678  5 Pb 3.40-3.61
Ac: 0.1650 0.8323 0.3300  5 Pb 3.47-3.65, 1 Ac 3.83

Entry 3:
# LiCePd2

Crystalline LiCePd2 at its relaxed geometry (PBE-GGA, Alexandria).

Calculated values
* energy of formation: -56.34 kJ per mole of atoms
* space group: No. 62
* E_tot: -5.142 eV per atom
* spin magnetization: 2.814 μB per cell

Cell: 5.7311 7.0516 7.2037 Å, 90.00 90.00 90.00°
Closest atoms and distances in Å follow each position.
Fractional positions:
Ce: 0.6437 0.7500 0.9748  8 Pd 2.91-3.16, 3 Li 2.96-3.18
Ce: 0.1437 0.2500 0.5252  8 Pd 2.91-3.16, 3 Li 2.96-3.18
Ce: 0.8563 0.7500 0.4748  8 Pd 2.91-3.16, 3 Li 2.96-3.18
Ce: 0.3563 0.2500 0.0252  8 Pd 2.91-3.16, 3 Li 2.96-3.18
Li: 0.6528 0.2500 0.3981  6 Pd 2.56-2.61
Li: 0.1528 0.7500 0.1019  6 Pd 2.56-2.61
Li: 0.3472 0.7500 0.6019  6 Pd 2.56-2.61
Li: 0.8472 0.2500 0.8981  6 Pd 2.56-2.61
Pd: 0.9154 0.4570 0.1939  3 Li 2.56-2.61
Pd: 0.4154 0.5430 0.3061  3 Li 2.56-2.61
Pd: 0.9154 0.0430 0.1939  3 Li 2.56-2.61
Pd: 0.5846 0.0430 0.6939  3 Li 2.56-2.61
Pd: 0.0846 0.5430 0.8061  3 Li 2.56-2.61
Pd: 0.4154 0.9570 0.3061  3 Li 2.56-2.61
Pd: 0.0846 0.9570 0.8061  3 Li 2.56-2.61
Pd: 0.5846 0.4570 0.6939  3 Li 2.56-2.61

Entry 4:
# Ac4Bi2AsI

Crystalline Ac4Bi2AsI at its relaxed geometry (PBE-GGA, Alexandria).

Calculated values
* formation energy without anion corrections: -1.11 eV/atom
* space group: No. 10
* E_tot: -4.908 eV per atom
* spin magnetization: 0.000 μB per cell

Cell: 4.7756 8.1537 8.3315 Å, 70.38 90.00 90.00°
Closest atoms and distances in Å follow each position.
Fractional positions:
Bi: 0.0000 0.0000 0.0000  6 Ac 3.48-3.51
Bi: 0.5000 0.0000 0.5000  6 Ac 3.31-3.32
Ac: 0.5000 0.7374 0.2711  2 As 3.26, 3 Bi 3.31-3.48, 1 I 3.43
Ac: 0.0000 0.7478 0.7319  1 As 3.23, 3 Bi 3.32-3.51, 2 I 3.43
Ac: 0.5000 0.2626 0.7289  2 As 3.26, 3 Bi 3.31-3.48, 1 I 3.43
Ac: 0.0000 0.2522 0.2681  1 As 3.23, 3 Bi 3.32-3.51, 2 I 3.43
I: 0.5000 0.5000 0.0000  6 Ac 3.43
As: 0.0000 0.5000 0.5000  6 Ac 3.23-3.26